No. 1
VASP calculation (PBE) on an optimized crystal structure of AcPmCu.

abc: 3.741 3.741 6.954
angles: 105.60 105.60 90.00
Sites, in units of the cell vectors:
Ac 0.022 0.022 0.045
Cu 0.680 0.680 0.361
Pm 0.297 0.297 0.595

Formation energy = -0.045 eV/atom
Total magnetic moment = 0.00 Bohr magnetons per cell
Calculated density = 8.04 g/cm³

---

No. 2
VASP calculation (PBE) on an optimized crystal structure of Ag4MoRu.

abc: 5.275 5.275 5.275
angles: 60.00 60.00 60.00
Sites, in units of the cell vectors:
Ag 0.375 0.375 0.375
Ag 0.875 0.375 0.375
Ag 0.375 0.375 0.875
Ag 0.375 0.875 0.375
Mo 0.750 0.750 0.750
Ru 0.000 0.000 0.000

Formation energy = 0.807 eV/atom
Total magnetic moment = 0.11 Bohr magnetons per cell
Calculated density = 10.06 g/cm³